No. 1
Material: ScIn4Ni
Method: DFT, PBE
State: optimized geometry

a = 5.8381 Å, b = 5.8381 Å, c = 5.8381 Å
α = 60.00°, β = 60.00°, γ = 60.00°
Fractional positions:
Sc (0.0000, 0.0000, 0.0000)
Ni (0.7500, 0.7500, 0.7500)
In (0.3750, 0.3750, 0.3750)
In (0.3750, 0.8749, 0.3750)
In (0.3750, 0.3750, 0.8749)
In (0.8749, 0.3750, 0.3750)

Properties
total DFT energy (no corrections): -21.05 eV per cell
space-group type: F-43m
ΔE_f: 0.336 eV per atom



No. 2
Material: Sc6P3Se2S
Method: DFT, PBE
State: optimized geometry

a = 3.7715 Å, b = 7.6128 Å, c = 8.5022 Å
α = 103.75°, β = 102.81°, γ = 90.00°
Fractional positions:
Sc (0.9944, 0.2540, 0.9889)
Se (0.1664, 0.3339, 0.3328)
Sc (0.3392, 0.4026, 0.6784)
S (0.5000, 0.0000, 0.0000)
P (0.5000, 0.5000, 0.0000)
Sc (0.6682, 0.0691, 0.3363)
Sc (0.6608, 0.5974, 0.3216)
Sc (0.0056, 0.7460, 0.0111)
Se (0.8336, 0.6661, 0.6672)
P (0.1676, 0.8348, 0.3352)
Sc (0.3318, 0.9309, 0.6637)
P (0.8324, 0.1652, 0.6648)

Properties
total DFT energy (no corrections): -85.31 eV per cell
space-group type: C2/m



No. 3
Material: CuTcO3
Method: DFT, PBE
State: optimized geometry

a = 3.0519 Å, b = 5.3488 Å, c = 7.4271 Å
α = 90.00°, β = 90.00°, γ = 73.36°
Site moments in Bohr magnetons follow the coordinates.
Fractional positions:
O (0.9304, 0.1394, 0.0000)  0.03
O (0.0696, 0.8606, 0.5000)  0.03
Cu (0.7465, 0.5118, 0.0000)  0.00
O (0.3811, 0.2368, 0.6908)  0.05
O (0.3811, 0.2368, 0.3092)  0.05
Tc (0.0000, 0.0000, 0.7500)  1.22
Tc (0.0000, 0.0000, 0.2500)  1.22
O (0.6189, 0.7632, 0.1908)  0.05
Cu (0.2535, 0.4882, 0.5000)  0.00
O (0.6189, 0.7632, 0.8092)  0.05

Properties
total DFT energy (no corrections): -68.52 eV per cell
space-group type: P2_1/m